Entry 1:
VASP calculation (PBE) on a relaxed FeCo3Ge2 crystal.

Summary:
E = -6.562 eV/atom
M_tot = 6.41 μB/f.u.
E_form = -35 kJ/mol of formula units
N(E_F) = 3.7 states/eV per cell

Unit cell a=2.9333 b=2.9333 c=8.4997 alpha=90.00 beta=90.00 gamma=90.00
Last column: nearest neighbours and their distance in Å.
Sites, in units of the cell vectors:
Fe: 0.0000 0.0000 0.0000  8 Co 2.49, 2 Ge 2.78
Co: 0.5000 0.5000 0.1627  4 Fe 2.49, 4 Ge 2.50, 1 Co 2.77
Co: 0.5000 0.5000 0.5000  8 Ge 2.54
Co: 0.5000 0.5000 0.8373  4 Fe 2.49, 4 Ge 2.50, 1 Co 2.77
Ge: 0.0000 0.0000 0.3268  8 Co 2.50-2.54, 1 Fe 2.78
Ge: 0.0000 0.0000 0.6732  8 Co 2.50-2.54, 1 Fe 2.78

***

Entry 2:
VASP calculation (PBE) on a relaxed Zr2GaN crystal.

Summary:
E = -8.215 eV/atom
formation energy without anion corrections = -4.41 eV/f.u.
M_tot = 0.00 μB/f.u.
N(E_F) = 2.9 states/eV per cell

Unit cell a=5.6625 b=3.2764 c=7.3267 alpha=90.00 beta=105.35 gamma=90.00
Last column: nearest neighbours and their distance in Å.
Sites, in units of the cell vectors:
Zr: 0.2301 0.0000 0.1811  3 N 2.27-2.29
Zr: 0.2699 0.5000 0.8189  3 N 2.27-2.29
Zr: 0.7301 0.5000 0.1811  3 N 2.27-2.29
Zr: 0.7699 0.0000 0.8189  3 N 2.27-2.29
Ga: 0.0000 0.0000 0.5000  6 Zr 2.93-2.96, 6 Ga 3.27-3.28
Ga: 0.5000 0.5000 0.5000  6 Zr 2.93-2.96, 6 Ga 3.27-3.28
N: 0.0000 0.5000 0.0000  6 Zr 2.27-2.29
N: 0.5000 0.0000 0.0000  6 Zr 2.27-2.29

***

Entry 3:
VASP calculation (PBE) on a relaxed Nd2HfCu3Ni12 crystal.

Summary:
E = -5.601 eV/atom
M_tot = 0.00 μB/f.u.
E_form = 33 kJ/mol of formula units
N(E_F) = 19.1 states/eV per cell

Unit cell a=6.3714 b=6.3714 c=6.3714 alpha=83.13 beta=83.13 gamma=83.13
Last column: nearest neighbours and their distance in Å.
Sites, in units of the cell vectors:
Nd: 0.2071 0.2071 0.2071  9 Ni 2.70-2.84, 3 Cu 2.89
Nd: 0.7929 0.7929 0.7929  9 Ni 2.70-2.84, 3 Cu 2.89
Hf: 0.5000 0.5000 0.5000  6 Ni 2.42
Cu: 0.0000 0.5000 0.5000  6 Ni 2.53-2.67
Cu: 0.5000 0.0000 0.5000  6 Ni 2.53-2.67
Cu: 0.5000 0.5000 0.0000  6 Ni 2.53-2.67
Ni: 0.0900 0.0900 0.6393  3 Ni 2.33-2.51
Ni: 0.0900 0.6393 0.0900  3 Ni 2.33-2.51
Ni: 0.2156 0.7012 0.7012  5 Ni 2.33-2.56, 1 Hf 2.42, 1 Cu 2.53
Ni: 0.2988 0.2988 0.7844  5 Ni 2.33-2.56, 1 Hf 2.42, 1 Cu 2.53
Ni: 0.2988 0.7844 0.2988  5 Ni 2.33-2.56, 1 Hf 2.42, 1 Cu 2.53
Ni: 0.3607 0.9100 0.9100  3 Ni 2.33-2.51
Ni: 0.6393 0.0900 0.0900  3 Ni 2.33-2.51
Ni: 0.7012 0.2156 0.7012  5 Ni 2.33-2.56, 1 Hf 2.42, 1 Cu 2.53
Ni: 0.7012 0.7012 0.2156  5 Ni 2.33-2.56, 1 Hf 2.42, 1 Cu 2.53
Ni: 0.7844 0.2988 0.2988  5 Ni 2.33-2.56, 1 Hf 2.42, 1 Cu 2.53
Ni: 0.9100 0.3607 0.9100  3 Ni 2.33-2.51
Ni: 0.9100 0.9100 0.3607  3 Ni 2.33-2.51

***

Entry 4:
VASP calculation (PBE) on a relaxed LaDyN2 crystal.

Summary:
E = -7.707 eV/atom
formation energy without anion corrections = -4.65 eV/f.u.
M_tot = 0.00 μB/f.u.
N(E_F) = 0.1 states/eV per cell

Unit cell a=3.5300 b=3.5300 c=6.2296 alpha=90.00 beta=90.00 gamma=120.00
Last column: nearest neighbours and their distance in Å.
Sites, in units of the cell vectors:
La: 0.0000 0.0000 0.0000  6 N 2.62
Dy: 0.0000 0.0000 0.5000  6 N 2.51
N: 0.3333 0.6667 0.7355  3 Dy 2.51, 3 La 2.62
N: 0.6667 0.3333 0.2645  3 Dy 2.51, 3 La 2.62

***

Entry 5:
VASP calculation (PBE) on a relaxed U2PdS4Cl crystal.

Summary:
E = -6.883 eV/atom
formation energy without anion corrections = -8.94 eV/f.u.
M_tot = 3.15 μB/f.u.
N(E_F) = 26.1 states/eV per cell

Unit cell a=12.0274 b=3.8423 c=7.3151 alpha=90.00 beta=107.49 gamma=90.00
Last column: nearest neighbours and their distance in Å.
Sites, in units of the cell vectors:
U: 0.1854 0.0000 0.2145  6 S 2.67-2.79
U: 0.3146 0.5000 0.7855  6 S 2.67-2.79
U: 0.6854 0.5000 0.2145  6 S 2.67-2.79
U: 0.8146 0.0000 0.7855  6 S 2.67-2.79
Pd: 0.0000 0.0000 0.5000  6 S 2.60-2.64
Pd: 0.5000 0.5000 0.5000  6 S 2.60-2.64
S: 0.1315 0.5000 0.4433  2 Pd 2.60, 3 U 2.75-2.79
S: 0.1699 0.0000 0.8272  1 Pd 2.64, 3 U 2.67-2.78
S: 0.3301 0.5000 0.1728  1 Pd 2.64, 3 U 2.67-2.78
S: 0.3685 0.0000 0.5567  2 Pd 2.60, 3 U 2.75-2.79
S: 0.6315 0.0000 0.4433  2 Pd 2.60, 3 U 2.75-2.79
S: 0.6699 0.5000 0.8272  1 Pd 2.64, 3 U 2.67-2.78
S: 0.8301 0.0000 0.1728  1 Pd 2.64, 3 U 2.67-2.78
S: 0.8685 0.5000 0.5567  2 Pd 2.60, 3 U 2.75-2.79
Cl: 0.0000 0.5000 0.0000  4 U 3.00, 6 S 3.15-3.32
Cl: 0.5000 0.0000 0.0000  4 U 3.00, 6 S 3.15-3.32

***

Entry 6:
VASP calculation (PBE) on a relaxed KCdIO2 crystal.

Summary:
E = -3.059 eV/atom
formation energy without anion corrections = -1.82 eV/f.u.
energy relative to the lowest polymorph listed for this composition = 0 meV/atom
M_tot = 2.00 μB/f.u.
N(E_F) = 5.9 states/eV per cell

Unit cell a=4.5797 b=4.5797 c=6.0818 alpha=90.00 beta=90.00 gamma=90.00
Last column: nearest neighbours and their distance in Å.
Sites, in units of the cell vectors:
K: 0.0000 0.0000 0.0000  4 I 3.24
Cd: 0.5000 0.5000 0.5000  4 O 2.29
I: 0.5000 0.5000 0.0000  2 Cd 3.04, 4 K 3.24
O: 0.0000 0.5000 0.5000  2 Cd 2.29
O: 0.5000 0.0000 0.5000  2 Cd 2.29